(1)
## Tm2MnIn (PBE)

Data for crystalline Tm2MnIn at its relaxed geometry.

Output
* DFT formation energy: 297 meV/atom
* ΔE to the lowest computed polymorph: 44.9 kJ/mol of atoms
* calculated density: 8.0 g/cm³

Unit cell a=3.3628 b=3.3628 c=10.9548 alpha=81.17 beta=81.17 gamma=60.00
Fractional positions:
In1 0.0000 0.0000 0.0000
Tm1 0.9019 0.9019 0.2944
Tm2 0.0981 0.0981 0.7056
Mn1 0.5000 0.5000 0.5000

(2)
## Tm4MnIn (PBE)

Data for crystalline Tm4MnIn at its relaxed geometry.

Output
* DFT formation energy: -128 meV/atom
* calculated density: 8.9 g/cm³

Unit cell a=5.8560 b=7.8074 c=7.8074 alpha=112.49 beta=99.76 gamma=99.76
Fractional positions:
Tm1 0.5494 0.2742 0.9411
Tm2 0.0494 0.9411 0.2742
Tm3 0.9506 0.0589 0.7258
Tm4 0.8779 0.6457 0.7978
Tm5 0.6221 0.2022 0.3543
Tm6 0.3779 0.7978 0.6457
Tm7 0.1221 0.3543 0.2022
Tm8 0.4506 0.7258 0.0589
In1 0.7500 0.6261 0.3739
In2 0.2500 0.3739 0.6261
Mn1 0.7500 0.0010 0.9990
Mn2 0.2500 0.9990 0.0010

(3)
## YTmMnIn (PBE)

Data for crystalline YTmMnIn at its relaxed geometry.

Output
* DFT formation energy: -106 meV/atom
* calculated density: 7.3 g/cm³

Unit cell a=5.1726 b=5.1726 c=5.1726 alpha=60.00 beta=60.00 gamma=60.00
Fractional positions:
Tm1 0.5000 0.5000 0.5000
Mn1 0.7500 0.7500 0.7500
In1 0.2500 0.2500 0.2500
Y1 0.0000 0.0000 0.0000

(4)
## UMn4In (PBE)

Data for crystalline UMn4In at its relaxed geometry.

Output
* DFT formation energy: 212 meV/atom
* calculated density: 10.3 g/cm³

Unit cell a=5.0711 b=5.0711 c=5.0711 alpha=60.00 beta=60.00 gamma=60.00
Fractional positions:
Mn1 0.1269 0.6244 0.6244
Mn2 0.6244 0.6244 0.1269
Mn3 0.6244 0.6244 0.6244
Mn4 0.6244 0.1269 0.6244
In1 0.0000 0.0000 0.0000
U1 0.2500 0.2500 0.2500

(5)
## UMnIn (PBE)

Data for crystalline UMnIn at its relaxed geometry.

Output
* DFT formation energy: -77 meV/atom
* calculated density: 10.9 g/cm³

Unit cell a=6.4469 b=5.5128 c=7.0424 alpha=90.00 beta=96.67 gamma=90.00
Fractional positions:
Mn1 0.0607 0.8458 0.6425
Mn2 0.5607 0.6542 0.1425
Mn3 0.4393 0.3458 0.8575
Mn4 0.9393 0.1542 0.3575
In1 0.6924 0.1240 0.6372
In2 0.8076 0.6240 0.8628
In3 0.1924 0.3760 0.1372
In4 0.3076 0.8760 0.3628
U1 0.3106 0.8609 0.8670
U2 0.8106 0.6391 0.3670
U3 0.6894 0.1391 0.1330
U4 0.1894 0.3609 0.6330

(6)
## U2MnIn (PBE)

Data for crystalline U2MnIn at its relaxed geometry.

Output
* DFT formation energy: 256 meV/atom
* calculated density: 14.0 g/cm³

Unit cell a=2.9698 b=2.9698 c=10.2074 alpha=81.64 beta=81.64 gamma=60.00
Fractional positions:
U1 0.2626 0.2626 0.2123
U2 0.7374 0.7374 0.7877
Mn1 0.0000 0.0000 0.0000
In1 0.5000 0.5000 0.5000